A plane-wave DFT calculation with PBE-GGA was carried out for a geometry-optimized GdRe2 structure.

Total energy ... -9.96 eV/atom
ΔE_f ... -35.7 kJ/mol of formula units
Space group ... Fd-3m (227)
Theoretical density ... 15.48 g/cm3
Spin magnetization ... 0.000 μB/atom

Unit cell a=5.437 b=5.437 c=5.437 alpha=60.00 beta=60.00 gamma=60.00
Fractional positions:
1 Gd 0.000 0.000 0.000
2 Gd 0.250 0.250 0.250
3 Re 0.625 0.625 0.125
4 Re 0.625 0.125 0.625
5 Re 0.125 0.625 0.625
6 Re 0.625 0.625 0.625


A plane-wave DFT calculation with PBE-GGA was carried out for a geometry-optimized GdReSb structure.

Total energy ... -6.02 eV/atom
Space group ... F-43m (216)
Theoretical density ... 9.68 g/cm3
Spin magnetization ... 0.271 μB/atom

Unit cell a=4.833 b=4.833 c=4.833 alpha=60.00 beta=60.00 gamma=60.00
Fractional positions:
1 Gd 0.000 0.000 0.000
2 Re 0.250 0.250 0.250
3 Sb 0.750 0.750 0.750


A plane-wave DFT calculation with PBE-GGA was carried out for a geometry-optimized GdReSi structure.

Total energy ... -6.17 eV/atom
Space group ... F-43m (216)
Theoretical density ... 8.81 g/cm3
Energy above the most stable polymorph in this dataset ... 1.1665 eV per atom
Spin magnetization ... 0.468 μB/atom

Unit cell a=4.627 b=4.627 c=4.627 alpha=60.00 beta=60.00 gamma=60.00
Fractional positions:
1 Gd 0.000 0.000 0.000
2 Re 0.250 0.250 0.250
3 Si 0.750 0.750 0.750


A plane-wave DFT calculation with PBE-GGA was carried out for a geometry-optimized GdReSi structure.

Total energy ... -7.34 eV/atom
Space group ... F-43m (216)
Theoretical density ... 10.14 g/cm3
Energy above the most stable polymorph in this dataset ... 0.0000 eV per atom
Spin magnetization ... 0.002 μB/atom

Unit cell a=4.415 b=4.415 c=4.415 alpha=60.00 beta=60.00 gamma=60.00
Fractional positions:
1 Gd 0.250 0.250 0.250
2 Re 0.750 0.750 0.750
3 Si 0.000 0.000 0.000


A plane-wave DFT calculation with PBE-GGA was carried out for a geometry-optimized SmGdRe structure.

Total energy ... -6.12 eV/atom
ΔE_f ... 330.7 kJ/mol of formula units
Space group ... F-43m (216)
Theoretical density ... 10.39 g/cm3
Energy above the most stable polymorph in this dataset ... 0.0000 eV per atom
Spin magnetization ... 0.030 μB/atom

Unit cell a=4.814 b=4.814 c=4.814 alpha=60.00 beta=60.00 gamma=60.00
Fractional positions:
1 Gd 0.000 0.000 0.000
2 Re 0.250 0.250 0.250
3 Sm 0.750 0.750 0.750


A plane-wave DFT calculation with PBE-GGA was carried out for a geometry-optimized GdTaRe structure.

Total energy ... -7.88 eV/atom
ΔE_f ... 509.6 kJ/mol of formula units
Space group ... F-43m (216)
Theoretical density ... 12.97 g/cm3
Spin magnetization ... 0.003 μB/atom

Unit cell a=4.562 b=4.562 c=4.562 alpha=60.00 beta=60.00 gamma=60.00
Fractional positions:
1 Gd 0.000 0.000 0.000
2 Re 0.250 0.250 0.250
3 Ta 0.750 0.750 0.750


A plane-wave DFT calculation with PBE-GGA was carried out for a geometry-optimized GdTa3Re structure.

Total energy ... -7.62 eV/atom
ΔE_f ... 1404.1 kJ/mol of formula units
Space group ... P6_3/mmc (194)
Theoretical density ... 9.27 g/cm3
Spin magnetization ... 0.192 μB/atom

Unit cell a=8.512 b=8.512 c=5.059 alpha=90.00 beta=90.00 gamma=120.00
Fractional positions:
1 Gd 0.000 0.000 0.000
2 Gd 0.000 0.000 0.500
3 Re 0.333 0.667 0.250
4 Re 0.667 0.333 0.750
5 Ta 0.170 0.341 0.250
6 Ta 0.170 0.830 0.250
7 Ta 0.659 0.830 0.250
8 Ta 0.341 0.170 0.750
9 Ta 0.830 0.170 0.750
10 Ta 0.830 0.659 0.750


A plane-wave DFT calculation with PBE-GGA was carried out for a geometry-optimized GdReTe structure.

Total energy ... -5.79 eV/atom
Space group ... F-43m (216)
Theoretical density ... 9.68 g/cm3
Energy above the most stable polymorph in this dataset ... 0.3967 eV per atom
Spin magnetization ... 0.019 μB/atom

Unit cell a=4.853 b=4.853 c=4.853 alpha=60.00 beta=60.00 gamma=60.00
Fractional positions:
1 Gd 0.000 0.000 0.000
2 Re 0.250 0.250 0.250
3 Te 0.750 0.750 0.750


A plane-wave DFT calculation with PBE-GGA was carried out for a geometry-optimized GdReTe structure.

Total energy ... -6.19 eV/atom
Space group ... F-43m (216)
Theoretical density ... 10.49 g/cm3
Energy above the most stable polymorph in this dataset ... 0.0000 eV per atom
Spin magnetization ... 0.552 μB/atom

Unit cell a=4.725 b=4.725 c=4.725 alpha=60.00 beta=60.00 gamma=60.00
Fractional positions:
1 Gd 0.250 0.250 0.250
2 Re 0.750 0.750 0.750
3 Te 0.000 0.000 0.000


A plane-wave DFT calculation with PBE-GGA was carried out for a geometry-optimized GdThRe structure.

Total energy ... -7.11 eV/atom
ΔE_f ... 304.8 kJ/mol of formula units
Space group ... F-43m (216)
Theoretical density ... 12.14 g/cm3
Energy above the most stable polymorph in this dataset ... 0.0000 eV per atom
Spin magnetization ... 0.002 μB/atom

Unit cell a=4.810 b=4.810 c=4.810 alpha=60.00 beta=60.00 gamma=60.00
Fractional positions:
1 Gd 0.000 0.000 0.000
2 Re 0.250 0.250 0.250
3 Th 0.750 0.750 0.750


A plane-wave DFT calculation with PBE-GGA was carried out for a geometry-optimized GdReW structure.

Total energy ... -7.90 eV/atom
ΔE_f ... 611.6 kJ/mol of formula units
Space group ... F-43m (216)
Theoretical density ... 13.47 g/cm3
Spin magnetization ... 0.035 μB/atom

Unit cell a=4.513 b=4.513 c=4.513 alpha=60.00 beta=60.00 gamma=60.00
Fractional positions:
1 Gd 0.000 0.000 0.000
2 Re 0.250 0.250 0.250
3 W 0.750 0.750 0.750


A plane-wave DFT calculation with PBE-GGA was carried out for a geometry-optimized GdZnRe structure.

Total energy ... -5.47 eV/atom
ΔE_f ... 185.4 kJ/mol of formula units
Space group ... F-43m (216)
Theoretical density ... 10.73 g/cm3
Spin magnetization ... 0.240 μB/atom

Unit cell a=4.473 b=4.473 c=4.473 alpha=60.00 beta=60.00 gamma=60.00
Fractional positions:
1 Gd 0.250 0.250 0.250
2 Re 0.750 0.750 0.750
3 Zn 0.000 0.000 0.000